No. 1
# YHfThMg

YHfThMg after structural relaxation (GGA-PBE, Alexandria via LeMat-Bulk).

ΔE_f: 0.142 eV per atom
space group: F-43m (216)

Cell: 7.5592 7.5592 7.5592 Å, 90.00 90.00 90.00°
Positions (direct):
Y  0.0000  0.0000  0.0000
Y  0.0000  0.5000  0.5000
Y  0.5000  0.0000  0.5000
Y  0.5000  0.5000  0.0000
Hf  0.2500  0.2500  0.7500
Hf  0.2500  0.7500  0.2500
Hf  0.7500  0.2500  0.2500
Hf  0.7500  0.7500  0.7500
Th  0.0000  0.0000  0.5000
Th  0.0000  0.5000  0.0000
Th  0.5000  0.0000  0.0000
Th  0.5000  0.5000  0.5000
Mg  0.2500  0.2500  0.2500
Mg  0.2500  0.7500  0.7500
Mg  0.7500  0.2500  0.7500
Mg  0.7500  0.7500  0.2500

No. 2
# HfThMgZr

HfThMgZr after structural relaxation (GGA-PBE, Alexandria via LeMat-Bulk).

ΔE_f: 0.111 eV per atom
space group: F-43m (216)

Cell: 7.3183 7.3183 7.3183 Å, 90.00 90.00 90.00°
Positions (direct):
Hf  0.0000  0.0000  0.0000
Hf  0.0000  0.5000  0.5000
Hf  0.5000  0.0000  0.5000
Hf  0.5000  0.5000  0.0000
Th  0.2500  0.2500  0.7500
Th  0.2500  0.7500  0.2500
Th  0.7500  0.2500  0.2500
Th  0.7500  0.7500  0.7500
Mg  0.0000  0.0000  0.5000
Mg  0.0000  0.5000  0.0000
Mg  0.5000  0.0000  0.0000
Mg  0.5000  0.5000  0.5000
Zr  0.2500  0.2500  0.2500
Zr  0.2500  0.7500  0.7500
Zr  0.7500  0.2500  0.7500
Zr  0.7500  0.7500  0.2500

No. 3
# Hf3MgTi

Hf3MgTi after structural relaxation (GGA-PBE, Alexandria via LeMat-Bulk).

ΔE_f: 0.862 eV per atom
space group: Pm-3m (221)

Cell: 4.9680 4.9680 4.9680 Å, 90.00 90.00 90.00°
Positions (direct):
Hf  0.0000  0.0000  0.5000
Hf  0.0000  0.5000  0.0000
Hf  0.5000  0.0000  0.0000
Mg  0.5000  0.5000  0.5000
Ti  0.0000  0.0000  0.0000

No. 4
# Hf2MgTi

Hf2MgTi after structural relaxation (GGA-PBE, Alexandria via LeMat-Bulk).

ΔE_f: 0.043 eV per atom
space group: P4/mmm (123)

Cell: 3.0303 3.0303 9.1892 Å, 90.00 90.00 90.00°
Positions (direct):
Hf  0.0000  0.0000  0.2242
Hf  0.0000  0.0000  0.7758
Mg  0.5000  0.5000  0.5000
Ti  0.5000  0.5000  0.0000

No. 5
# HfMg2Ti

HfMg2Ti after structural relaxation (GGA-PBE, Alexandria via LeMat-Bulk).

ΔE_f: 0.601 eV per atom
space group: I-42d (122)

Cell: 7.9157 7.9157 5.4361 Å, 90.00 90.00 90.00°
Positions (direct):
Hf  0.0000  0.0000  0.0000
Hf  0.0000  0.5000  0.2500
Hf  0.5000  0.0000  0.7500
Hf  0.5000  0.5000  0.5000
Mg  0.2334  0.2500  0.6250
Mg  0.2500  0.7334  0.8750
Mg  0.2500  0.7666  0.3750
Mg  0.2666  0.2500  0.1250
Mg  0.7334  0.7500  0.1250
Mg  0.7500  0.2334  0.3750
Mg  0.7500  0.2666  0.8750
Mg  0.7666  0.7500  0.6250
Ti  0.0000  0.0000  0.5000
Ti  0.0000  0.5000  0.7500
Ti  0.5000  0.0000  0.2500
Ti  0.5000  0.5000  0.0000

No. 6
# Hf2MgTi

Hf2MgTi after structural relaxation (GGA-PBE, Alexandria via LeMat-Bulk).

ΔE_f: 0.068 eV per atom
space group: C2/m (12)

Cell: 14.4679 3.0627 7.7081 Å, 90.00 97.26 90.00°
Positions (direct):
Hf  0.0362  0.0000  0.2187
Hf  0.2356  0.5000  0.3296
Hf  0.2644  0.0000  0.6704
Hf  0.4638  0.5000  0.7813
Hf  0.5362  0.5000  0.2187
Hf  0.7356  0.0000  0.3296
Hf  0.7644  0.5000  0.6704
Hf  0.9638  0.0000  0.7813
Mg  0.1505  0.5000  0.9407
Mg  0.3495  0.0000  0.0593
Mg  0.6505  0.0000  0.9407
Mg  0.8495  0.5000  0.0593
Ti  0.0902  0.5000  0.5437
Ti  0.4098  0.0000  0.4563
Ti  0.5902  0.0000  0.5437
Ti  0.9098  0.5000  0.4563

No. 7
# Hf2MgTi

Hf2MgTi after structural relaxation (GGA-PBE, Alexandria via LeMat-Bulk).

ΔE_f: 0.106 eV per atom
space group: R3m (160)

Cell: 3.1021 3.1021 30.5489 Å, 90.00 90.00 120.00°
Positions (direct):
Hf  0.0000  0.0000  0.0000
Hf  0.0000  0.0000  0.1771
Hf  0.3333  0.6667  0.6667
Hf  0.3333  0.6667  0.8437
Hf  0.6667  0.3333  0.3333
Hf  0.6667  0.3333  0.5104
Mg  0.0000  0.0000  0.7549
Mg  0.3333  0.6667  0.4216
Mg  0.6667  0.3333  0.0883
Ti  0.0000  0.0000  0.5884
Ti  0.3333  0.6667  0.2551
Ti  0.6667  0.3333  0.9217

No. 8
# HfMg2Ti

HfMg2Ti after structural relaxation (GGA-PBE, Alexandria via LeMat-Bulk).

ΔE_f: 0.066 eV per atom
space group: R3m (160)

Cell: 3.1244 3.1244 30.1966 Å, 90.00 90.00 120.00°
Positions (direct):
Hf  0.0000  0.0000  0.0000
Hf  0.3333  0.6667  0.6667
Hf  0.6667  0.3333  0.3333
Mg  0.0000  0.0000  0.4216
Mg  0.0000  0.0000  0.8422
Mg  0.3333  0.6667  0.0883
Mg  0.3333  0.6667  0.5088
Mg  0.6667  0.3333  0.1755
Mg  0.6667  0.3333  0.7550
Ti  0.0000  0.0000  0.2580
Ti  0.3333  0.6667  0.9247
Ti  0.6667  0.3333  0.5914

No. 9
# Hf2MgTi

Hf2MgTi after structural relaxation (GGA-PBE, Alexandria via LeMat-Bulk).

ΔE_f: 0.601 eV per atom
space group: I-42d (122)

Cell: 4.1361 4.1361 20.4381 Å, 90.00 90.00 90.00°
Positions (direct):
Hf  0.2429  0.2500  0.1250
Hf  0.2500  0.7429  0.3750
Hf  0.2500  0.7571  0.8750
Hf  0.2571  0.2500  0.6250
Hf  0.7429  0.7500  0.6250
Hf  0.7500  0.2429  0.8750
Hf  0.7500  0.2571  0.3750
Hf  0.7571  0.7500  0.1250
Mg  0.0000  0.0000  0.5000
Mg  0.0000  0.5000  0.7500
Mg  0.5000  0.0000  0.2500
Mg  0.5000  0.5000  0.0000
Ti  0.0000  0.0000  0.0000
Ti  0.0000  0.5000  0.2500
Ti  0.5000  0.0000  0.7500
Ti  0.5000  0.5000  0.5000

No. 10
# Hf3MgTi

Hf3MgTi after structural relaxation (GGA-PBE, Alexandria via LeMat-Bulk).

ΔE_f: 1.403 eV per atom
space group: Pm-3m (221)

Cell: 4.9766 4.9766 4.9766 Å, 90.00 90.00 90.00°
Positions (direct):
Hf  0.0000  0.0000  0.5000
Hf  0.0000  0.5000  0.0000
Hf  0.5000  0.0000  0.0000
Mg  0.0000  0.0000  0.0000
Ti  0.5000  0.5000  0.5000

No. 11
# HfMg6Ti

HfMg6Ti after structural relaxation (GGA-PBE, Alexandria via LeMat-Bulk).

ΔE_f: 0.133 eV per atom
space group: Amm2 (38)

Cell: 4.9612 6.2686 11.1728 Å, 90.00 90.00 90.00°
Positions (direct):
Hf  0.0000  0.0000  0.0000
Hf  0.0000  0.5000  0.5000
Mg  0.0000  0.0000  0.4873
Mg  0.0000  0.2418  0.2406
Mg  0.0000  0.2582  0.7406
Mg  0.0000  0.5000  0.9873
Mg  0.0000  0.7418  0.7406
Mg  0.0000  0.7582  0.2406
Mg  0.5000  0.0000  0.6495
Mg  0.5000  0.2433  0.8992
Mg  0.5000  0.2567  0.3992
Mg  0.5000  0.5000  0.1495
Mg  0.5000  0.7433  0.3992
Mg  0.5000  0.7567  0.8992
Ti  0.5000  0.0000  0.1389
Ti  0.5000  0.5000  0.6389

No. 12
# Hf2MgTi

Hf2MgTi after structural relaxation (GGA-PBE, Alexandria via LeMat-Bulk).

ΔE_f: 0.126 eV per atom
space group: P4/mmm (123)

Cell: 4.3635 4.3635 4.3080 Å, 90.00 90.00 90.00°
Positions (direct):
Hf  0.0000  0.5000  0.0000
Hf  0.5000  0.0000  0.0000
Mg  0.0000  0.0000  0.5000
Ti  0.5000  0.5000  0.5000

Number 1: energy -6.216 eV/atom, ρ 8.1 Mg/m³. Number 2: energy -6.768 eV/atom, ρ 8.9 Mg/m³. Number 3: energy -7.008 eV/atom, ρ 8.2 Mg/m³. Number 4: energy -7.307 eV/atom, ρ 8.4 Mg/m³. Number 5: energy -4.658 eV/atom, ρ 5.4 Mg/m³. Number 6: energy -7.281 eV/atom, ρ 8.4 Mg/m³. Number 7: energy -7.243 eV/atom, ρ 8.4 Mg/m³. Number 8: energy -5.194 eV/atom, ρ 5.4 Mg/m³. Number 9: energy -6.749 eV/atom, ρ 8.2 Mg/m³. Number 10: energy -6.467 eV/atom, ρ 8.2 Mg/m³. Number 11: energy -3.294 eV/atom, ρ 3.6 Mg/m³. Number 12: energy -7.223 eV/atom, ρ 8.7 Mg/m³.